A:
The following is a DFT calculation (GGA+U) of crystalline CdFeIO2 at its relaxed geometry.

Values from the calculation:
- Magnetization: 1.032 μB per atom

The structure in CIF format:
```
data_CdFeIO2
_symmetry_space_group_name_H-M 'P 4/m m m'
_symmetry_Int_Tables_number 123
_symmetry_space_group_name_Hall '-P 4 2'
_cell_length_a 3.987
_cell_length_b 3.987
_cell_length_c 5.988
_cell_angle_alpha 90.00
_cell_angle_beta 90.00
_cell_angle_gamma 90.00
loop_
_atom_site_label
_atom_site_type_symbol
_atom_site_fract_x
_atom_site_fract_y
_atom_site_fract_z
Cd1 Cd 0.000 0.000 0.000
Fe1 Fe 0.500 0.500 0.500
I1 I 0.500 0.500 0.000
O1 O 0.000 0.500 0.500
```

---

B:
The following is a DFT calculation (GGA+U) of crystalline CdFeIO2 at its relaxed geometry.

Values from the calculation:
- Magnetization: 1.021 μB per atom

The structure in CIF format:
```
data_CdFeIO2
_symmetry_space_group_name_H-M 'P 4/m m m'
_symmetry_Int_Tables_number 123
_symmetry_space_group_name_Hall '-P 4 2'
_cell_length_a 4.201
_cell_length_b 4.201
_cell_length_c 6.234
_cell_angle_alpha 90.00
_cell_angle_beta 90.00
_cell_angle_gamma 90.00
loop_
_atom_site_label
_atom_site_type_symbol
_atom_site_fract_x
_atom_site_fract_y
_atom_site_fract_z
Cd1 Cd 0.000 0.000 0.000
Fe1 Fe 0.500 0.500 0.500
I1 I 0.000 0.000 0.500
O1 O 0.000 0.500 0.000
```

---

A ends up most stable, edging out the next structure by 0.567 eV/atom.

---

A:
The following is a DFT calculation (GGA+U) of crystalline CdFeI2O at its relaxed geometry.

Values from the calculation:
- Magnetization: 0.869 μB per atom

The structure in CIF format:
```
data_CdFeI2O
_symmetry_space_group_name_H-M 'P 4/m m m'
_symmetry_Int_Tables_number 123
_symmetry_space_group_name_Hall '-P 4 2'
_cell_length_a 5.970
_cell_length_b 5.970
_cell_length_c 4.081
_cell_angle_alpha 90.00
_cell_angle_beta 90.00
_cell_angle_gamma 90.00
loop_
_atom_site_label
_atom_site_type_symbol
_atom_site_fract_x
_atom_site_fract_y
_atom_site_fract_z
Cd1 Cd 0.000 0.000 0.000
Fe1 Fe 0.500 0.500 0.500
I1 I 0.000 0.500 0.000
O1 O 0.000 0.000 0.500
```

---

B:
The following is a DFT calculation (GGA+U) of crystalline CdFeI2O at its relaxed geometry.

Values from the calculation:
- Magnetization: 0.957 μB per atom

The structure in CIF format:
```
data_CdFeI2O
_symmetry_space_group_name_H-M 'P 4/m m m'
_symmetry_Int_Tables_number 123
_symmetry_space_group_name_Hall '-P 4 2'
_cell_length_a 5.743
_cell_length_b 5.743
_cell_length_c 3.750
_cell_angle_alpha 90.00
_cell_angle_beta 90.00
_cell_angle_gamma 90.00
loop_
_atom_site_label
_atom_site_type_symbol
_atom_site_fract_x
_atom_site_fract_y
_atom_site_fract_z
Cd1 Cd 0.000 0.000 0.000
Fe1 Fe 0.500 0.500 0.500
I1 I 0.000 0.500 0.500
O1 O 0.500 0.500 0.000
```

---

B ends up most stable, edging out the next structure by 0.503 eV/atom.